This record from the Alexandria database describes Ca5TlSn3 after structural relaxation. The functional is PBE-GGA.

## Properties
ΔE_f ... -0.49 eV per atom
SG ... No. 140

Cell and atoms, written as CIF:
```
data_Ca5TlSn3
_chemical_formula_sum 'Ca10 Tl2 Sn6'
_symmetry_space_group_name_H-M 'P 1'
_symmetry_Int_Tables_number 1
_symmetry_space_group_name_Hall 'P 1'
_cell_length_a 10.120
_cell_length_b 10.120
_cell_length_c 10.120
_cell_angle_alpha 131.77
_cell_angle_beta 131.77
_cell_angle_gamma 70.60
loop_
_atom_site_label
_atom_site_fract_x
_atom_site_fract_y
_atom_site_fract_z
_atom_site_occupancy
Ca1 0.000 0.000 0.000 1
Ca2 0.066 0.566 0.904 1
Ca3 0.163 0.066 0.500 1
Ca4 0.337 0.837 0.904 1
Ca5 0.434 0.337 0.500 1
Ca6 0.500 0.500 0.000 1
Ca7 0.566 0.663 0.500 1
Ca8 0.663 0.163 0.096 1
Ca9 0.837 0.934 0.500 1
Ca10 0.934 0.434 0.096 1
Tl1 0.250 0.750 0.500 1
Tl2 0.750 0.250 0.500 1
Sn1 0.119 0.381 0.500 1
Sn2 0.250 0.250 0.000 1
Sn3 0.381 0.881 0.261 1
Sn4 0.619 0.119 0.739 1
Sn5 0.750 0.750 0.000 1
Sn6 0.881 0.619 0.500 1
```

This record from the Alexandria database describes Sc2TeP after structural relaxation. The functional is PBE-GGA.

## Properties
Energy above the lowest structure with this stoichiometry ... 2.25 eV/f.u.
Uncorrected formation energy ... -829 meV per atom
SG ... No. 225

Cell and atoms, written as CIF:
```
data_Sc2TeP
_chemical_formula_sum 'Sc2 Te1 P1'
_symmetry_space_group_name_H-M 'P 1'
_symmetry_Int_Tables_number 1
_symmetry_space_group_name_Hall 'P 1'
_cell_length_a 4.898
_cell_length_b 4.898
_cell_length_c 4.898
_cell_angle_alpha 60.00
_cell_angle_beta 60.00
_cell_angle_gamma 60.00
loop_
_atom_site_label
_atom_site_fract_x
_atom_site_fract_y
_atom_site_fract_z
_atom_site_occupancy
Sc1 0.250 0.250 0.250 1
Sc2 0.750 0.750 0.750 1
Te1 0.000 0.000 0.000 1
P1 0.500 0.500 0.500 1
```

This record from the Alexandria database describes AsP2Au after structural relaxation. The functional is PBE-GGA.

## Properties
ΔE_f ... 0.15 eV per atom
SG ... No. 1

Cell and atoms, written as CIF:
```
data_AsP2Au
_chemical_formula_sum 'As1 P2 Au1'
_symmetry_space_group_name_H-M 'P 1'
_symmetry_Int_Tables_number 1
_symmetry_space_group_name_Hall 'P 1'
_cell_length_a 3.590
_cell_length_b 5.435
_cell_length_c 5.855
_cell_angle_alpha 64.09
_cell_angle_beta 77.52
_cell_angle_gamma 72.88
loop_
_atom_site_label
_atom_site_fract_x
_atom_site_fract_y
_atom_site_fract_z
_atom_site_occupancy
As1 0.000 0.000 0.000 1
P1 0.402 0.809 0.709 1
P2 0.814 0.095 0.607 1
Au1 0.804 0.554 0.294 1
```